No. 1
Here is a relaxed structure of TaNiMo2 from Alexandria. Energies are from PBE-GGA.

Cell lengths 2.6841, 2.6841, 8.4920 Å; angles 90.00, 90.00, 90.00 degrees
Space group P4mm (No. 99)
One atom of each set of equivalent atoms:
Ta  0.0000  0.0000  0.0000 x1
Ni  0.5000  0.5000  0.7682 x1
Mo  0.0000  0.0000  0.5517 x1
Mo  0.5000  0.5000  0.2784 x1

Results
polymorph energy (0 for the lowest one): 8.7 kJ per mole of atoms

=====

No. 2
Here is a relaxed structure of TaNiMo3 from Alexandria. Energies are from PBE-GGA.

Cell lengths 4.4657, 4.4657, 4.4657 Å; angles 90.00, 90.00, 90.00 degrees
Space group Pm-3m (No. 221)
One atom of each set of equivalent atoms:
Ta  0.0000  0.0000  0.0000 x1
Ni  0.5000  0.5000  0.5000 x1
Mo  0.0000  0.5000  0.5000 x3

Results
polymorph energy (0 for the lowest one): 0.0 kJ per mole of atoms

=====

No. 3
Here is a relaxed structure of TaNiMo2 from Alexandria. Energies are from PBE-GGA.

Cell lengths 2.6899, 4.4166, 5.2402 Å; angles 90.00, 99.07, 90.00 degrees
Space group Pm (No. 6)
One atom of each set of equivalent atoms:
Ta  0.0000  0.0000  0.0000 x1
Ni  0.2774  0.5000  0.7708 x1
Mo  0.5039  0.0000  0.4992 x1
Mo  0.7479  0.5000  0.2705 x1

Results
polymorph energy (0 for the lowest one): 8.3 kJ per mole of atoms

=====

No. 4
Here is a relaxed structure of Ta2NiMo from Alexandria. Energies are from PBE-GGA.

Cell lengths 6.3315, 6.3315, 6.3315 Å; angles 90.00, 90.00, 90.00 degrees
Space group F-43m (No. 216)
One atom of each set of equivalent atoms:
Ta  0.0000  0.0000  0.0000 x4
Ta  0.2500  0.2500  0.2500 x4
Ni  0.0000  0.0000  0.5000 x4
Mo  0.2500  0.2500  0.7500 x4

=====

No. 5
Here is a relaxed structure of Ta3NiMo from Alexandria. Energies are from PBE-GGA.

Cell lengths 4.7835, 4.7835, 4.7835 Å; angles 90.00, 90.00, 90.00 degrees
Space group Pm-3m (No. 221)
One atom of each set of equivalent atoms:
Ta  0.0000  0.0000  0.5000 x3
Ni  0.5000  0.5000  0.5000 x1
Mo  0.0000  0.0000  0.0000 x1

Results
polymorph energy (0 for the lowest one): 64.5 kJ per mole of atoms

=====

No. 6
Here is a relaxed structure of TaNiMo2 from Alexandria. Energies are from PBE-GGA.

Cell lengths 5.3502, 9.0109, 2.6960 Å; angles 90.00, 109.11, 90.00 degrees
Space group C2/m (No. 12)
One atom of each set of equivalent atoms:
Ta  0.0000  0.0000  0.0000 x2
Ni  0.0000  0.5000  0.0000 x2
Mo  0.2500  0.2500  0.5000 x4

Results
polymorph energy (0 for the lowest one): 9.1 kJ per mole of atoms

=====

No. 7
Here is a relaxed structure of Ta2NiMo from Alexandria. Energies are from PBE-GGA.

Cell lengths 3.2592, 3.2592, 5.9636 Å; angles 90.00, 90.00, 90.00 degrees
Space group P4mm (No. 99)
One atom of each set of equivalent atoms:
Ta  0.0000  0.0000  0.0000 x1
Ta  0.5000  0.5000  0.2830 x1
Ni  0.5000  0.5000  0.7721 x1
Mo  0.0000  0.0000  0.5294 x1

=====

No. 8
Here is a relaxed structure of TaNiMo2 from Alexandria. Energies are from PBE-GGA.

Cell lengths 9.2805, 2.6894, 5.0048 Å; angles 90.00, 98.95, 90.00 degrees
Space group Cm (No. 8)
One atom of each set of equivalent atoms:
Ta  0.0000  0.0000  0.0000 x2
Ni  0.2373  0.5000  0.2170 x2
Mo  0.2330  0.0000  0.7174 x2
Mo  0.4660  0.0000  0.4754 x2

Results
polymorph energy (0 for the lowest one): 16.9 kJ per mole of atoms

=====

No. 9
Here is a relaxed structure of TaNiMo2 from Alexandria. Energies are from PBE-GGA.

Cell lengths 3.2926, 4.3121, 8.6741 Å; angles 90.00, 90.00, 90.00 degrees
Space group Immm (No. 71)
One atom of each set of equivalent atoms:
Ta  0.0000  0.0000  0.0000 x2
Ni  0.0000  0.0000  0.5000 x2
Mo  0.0000  0.5000  0.2534 x4

Results
polymorph energy (0 for the lowest one): 10.3 kJ per mole of atoms

=====

No. 10
Here is a relaxed structure of Ta2NiMo from Alexandria. Energies are from PBE-GGA.

Cell lengths 2.7266, 2.7266, 8.5211 Å; angles 90.00, 90.00, 90.00 degrees
Space group P4/mmm (No. 123)
One atom of each set of equivalent atoms:
Ta  0.0000  0.0000  0.2234 x2
Ni  0.5000  0.5000  0.0000 x1
Mo  0.5000  0.5000  0.5000 x1

=====

No. 11
Here is a relaxed structure of TaNiMo3 from Alexandria. Energies are from PBE-GGA.

Cell lengths 4.7138, 4.7138, 4.7138 Å; angles 90.00, 90.00, 90.00 degrees
Space group Pm-3m (No. 221)
One atom of each set of equivalent atoms:
Ta  0.0000  0.0000  0.0000 x1
Ni  0.5000  0.5000  0.5000 x1
Mo  0.0000  0.0000  0.5000 x3

Results
polymorph energy (0 for the lowest one): 82.1 kJ per mole of atoms

=====

No. 12
Here is a relaxed structure of TaNiMo2 from Alexandria. Energies are from PBE-GGA.

Cell lengths 4.2818, 4.2818, 3.3336 Å; angles 90.00, 90.00, 90.00 degrees
Space group P4/mmm (No. 123)
One atom of each set of equivalent atoms:
Ta  0.0000  0.0000  0.0000 x1
Ni  0.5000  0.5000  0.0000 x1
Mo  0.0000  0.5000  0.5000 x2

Results
polymorph energy (0 for the lowest one): 12.2 kJ per mole of atoms

=====

No. 13
Here is a relaxed structure of Ta2NiMo from Alexandria. Energies are from PBE-GGA.

Cell lengths 7.0322, 7.0322, 5.4454 Å; angles 90.00, 90.00, 90.00 degrees
Space group I-42d (No. 122)
One atom of each set of equivalent atoms:
Ta  0.2314  0.2500  0.1250 x8
Ni  0.0000  0.0000  0.0000 x4
Mo  0.0000  0.0000  0.5000 x4

=====

No. 14
Here is a relaxed structure of TaNi14Mo from Alexandria. Energies are from PBE-GGA.

Cell lengths 5.1016, 5.1016, 7.0876 Å; angles 90.00, 90.00, 90.00 degrees
Space group P4/mmm (No. 123)
One atom of each set of equivalent atoms:
Ta  0.0000  0.0000  0.0000 x1
Ni  0.0000  0.0000  0.5000 x1
Ni  0.0000  0.5000  0.0000 x2
Ni  0.0000  0.5000  0.5000 x2
Ni  0.2518  0.2518  0.2550 x8
Ni  0.5000  0.5000  0.5000 x1
Mo  0.5000  0.5000  0.0000 x1

=====

No. 15
Here is a relaxed structure of TaNiMo2 from Alexandria. Energies are from PBE-GGA.

Cell lengths 2.6437, 4.0496, 5.7745 Å; angles 90.00, 90.00, 90.00 degrees
Space group Pmmm (No. 47)
One atom of each set of equivalent atoms:
Ta  0.0000  0.0000  0.0000 x1
Ni  0.0000  0.0000  0.5000 x1
Mo  0.5000  0.5000  0.2702 x2

Results
polymorph energy (0 for the lowest one): 23.3 kJ per mole of atoms

=====

No. 16
Here is a relaxed structure of TaNiMo2 from Alexandria. Energies are from PBE-GGA.

Cell lengths 3.2957, 4.3403, 8.5164 Å; angles 90.00, 90.00, 90.00 degrees
Space group Cmm2 (No. 35)
One atom of each set of equivalent atoms:
Ta  0.0000  0.0000  0.0000 x2
Ni  0.0000  0.5000  0.2374 x2
Mo  0.0000  0.0000  0.4665 x2
Mo  0.0000  0.5000  0.7276 x2

Results
polymorph energy (0 for the lowest one): 1.1 kJ per mole of atoms

=====

No. 17
Here is a relaxed structure of TaNiMo2 from Alexandria. Energies are from PBE-GGA.

Cell lengths 2.6986, 4.5306, 5.1005 Å; angles 90.00, 99.30, 90.00 degrees
Space group P2/m (No. 10)
One atom of each set of equivalent atoms:
Ta  0.0000  0.0000  0.0000 x1
Ni  0.5000  0.0000  0.5000 x1
Mo  0.2607  0.5000  0.7505 x2

Results
polymorph energy (0 for the lowest one): 12.6 kJ per mole of atoms

=====

No. 18
Here is a relaxed structure of TaNiMo2 from Alexandria. Energies are from PBE-GGA.

Cell lengths 7.1508, 7.1508, 5.0984 Å; angles 90.00, 90.00, 90.00 degrees
Space group I-42d (No. 122)
One atom of each set of equivalent atoms:
Ta  0.0000  0.0000  0.0000 x4
Ni  0.0000  0.0000  0.5000 x4
Mo  0.2202  0.2500  0.6250 x8

Results
polymorph energy (0 for the lowest one): 57.9 kJ per mole of atoms

=====

No. 19
Here is a relaxed structure of TaNi4Mo from Alexandria. Energies are from PBE-GGA.

Cell lengths 6.7216, 6.7216, 6.7216 Å; angles 90.00, 90.00, 90.00 degrees
Space group F-43m (No. 216)
One atom of each set of equivalent atoms:
Ta  0.0000  0.0000  0.0000 x4
Ni  0.1245  0.1245  0.3755 x16
Mo  0.2500  0.2500  0.7500 x4

=====

No. 20
Here is a relaxed structure of TaNiMo2 from Alexandria. Energies are from PBE-GGA.

Cell lengths 2.6696, 4.0023, 5.7781 Å; angles 90.00, 90.00, 90.00 degrees
Space group Pmm2 (No. 25)
One atom of each set of equivalent atoms:
Ta  0.0000  0.0000  0.0000 x1
Ni  0.5000  0.5000  0.7650 x1
Mo  0.0000  0.0000  0.5257 x1
Mo  0.5000  0.5000  0.2748 x1

Results
polymorph energy (0 for the lowest one): 19.0 kJ per mole of atoms

=====

Number 1: E_form 50 meV/atom. Number 2: E_form 1233 meV/atom. Number 3: E_form 46 meV/atom. Number 4: E_form 102 meV/atom. Number 5: E_form 1680 meV/atom. Number 6: E_form 54 meV/atom. Number 7: E_form -9 meV/atom. Number 8: E_form 135 meV/atom. Number 9: E_form 67 meV/atom. Number 10: E_form -15 meV/atom. Number 11: E_form 2084 meV/atom. Number 12: E_form 86 meV/atom. Number 13: E_form 476 meV/atom. Number 14: E_form -94 meV/atom. Number 15: E_form 201 meV/atom. Number 16: E_form -29 meV/atom. Number 17: E_form 90 meV/atom. Number 18: E_form 560 meV/atom. Number 19: E_form -128 meV/atom. Number 20: E_form 157 meV/atom.